{"formula": "TaTe3O", "functional": "GGA-PBE", "state": "optimized geometry", "vol_a3_per_cell": 105.2, "raw_formation_energy_ev_per_atom": 0.530, "e_above_lowest_polymorph_mev_per_atom": 0, "lattice": [[4.721, 0.000, 0.000], [0.000, 4.721, 0.000], [0.000, 0.000, 4.721]], "species": ["Ta", "Te", "Te", "Te", "O"], "fractional_positions": [[0.000, 0.000, 0.000], [0.000, 0.500, 0.500], [0.500, 0.000, 0.500], [0.500, 0.500, 0.000], [0.500, 0.500, 0.500]]}


{"formula": "TaTeO2", "functional": "GGA-PBE", "state": "optimized geometry", "vol_a3_per_cell": 252.3, "raw_formation_energy_ev_per_atom": -1.607, "lattice": [[3.109, 0.000, 0.000], [-1.554, 2.692, 0.000], [0.000, 0.000, 30.137]], "species": ["Ta", "Ta", "Ta", "Te", "Te", "Te", "O", "O", "O", "O", "O", "O"], "fractional_positions": [[0.000, 0.000, 0.000], [0.333, 0.667, 0.667], [0.667, 0.333, 0.333], [0.000, 0.000, 0.500], [0.333, 0.667, 0.167], [0.667, 0.333, 0.833], [0.000, 0.000, 0.369], [0.000, 0.000, 0.631], [0.333, 0.667, 0.036], [0.333, 0.667, 0.298], [0.667, 0.333, 0.702], [0.667, 0.333, 0.964]]}


{"formula": "TaTeO2", "functional": "GGA-PBE", "state": "optimized geometry", "vol_a3_per_cell": 184.0, "raw_formation_energy_ev_per_atom": -0.608, "lattice": [[3.062, 0.000, 0.000], [-1.531, 2.652, 0.000], [0.000, 0.000, 22.664]], "species": ["Ta", "Ta", "Ta", "Te", "Te", "Te", "O", "O", "O", "O", "O", "O"], "fractional_positions": [[0.000, 0.000, 0.000], [0.333, 0.667, 0.667], [0.667, 0.333, 0.333], [0.000, 0.000, 0.500], [0.333, 0.667, 0.167], [0.667, 0.333, 0.833], [0.000, 0.000, 0.084], [0.000, 0.000, 0.916], [0.333, 0.667, 0.582], [0.333, 0.667, 0.751], [0.667, 0.333, 0.249], [0.667, 0.333, 0.418]]}


{"formula": "TaTe6O12", "functional": "GGA-PBE", "state": "optimized geometry", "vol_a3_per_cell": 353.9, "raw_formation_energy_ev_per_atom": -1.105, "lattice": [[5.738, 3.313, 3.103], [-5.738, 3.313, 3.103], [0.000, -6.626, 3.103]], "species": ["Ta", "Te", "Te", "Te", "Te", "Te", "Te", "O", "O", "O", "O", "O", "O", "O", "O", "O", "O", "O", "O"], "fractional_positions": [[0.000, 0.000, 0.000], [0.130, 0.494, 0.343], [0.343, 0.130, 0.494], [0.494, 0.343, 0.130], [0.506, 0.657, 0.870], [0.657, 0.870, 0.506], [0.870, 0.506, 0.657], [0.035, 0.764, 0.827], [0.133, 0.440, 0.593], [0.173, 0.965, 0.236], [0.236, 0.173, 0.965], [0.407, 0.867, 0.560], [0.440, 0.593, 0.133], [0.560, 0.407, 0.867], [0.593, 0.133, 0.440], [0.764, 0.827, 0.035], [0.827, 0.035, 0.764], [0.867, 0.560, 0.407], [0.965, 0.236, 0.173]]}


{"formula": "TaTeO6", "functional": "GGA-PBE", "state": "optimized geometry", "vol_a3_per_cell": 228.0, "raw_formation_energy_ev_per_atom": -1.370, "e_above_lowest_polymorph_mev_per_atom": 178, "lattice": [[4.939, 0.000, 0.000], [0.000, 9.617, 0.000], [-1.167, 0.000, 4.799]], "species": ["Ta", "Ta", "Te", "Te", "O", "O", "O", "O", "O", "O", "O", "O", "O", "O", "O", "O"], "fractional_positions": [[0.000, 0.000, 0.000], [0.500, 0.500, 0.000], [0.000, 0.500, 0.500], [0.500, 0.000, 0.500], [0.239, 0.367, 0.742], [0.239, 0.633, 0.742], [0.250, 0.000, 0.747], [0.250, 0.500, 0.253], [0.261, 0.133, 0.258], [0.261, 0.867, 0.258], [0.739, 0.133, 0.742], [0.739, 0.867, 0.742], [0.750, 0.000, 0.253], [0.750, 0.500, 0.747], [0.761, 0.367, 0.258], [0.761, 0.633, 0.258]]}


{"formula": "TaTeO5", "functional": "GGA-PBE", "state": "optimized geometry", "vol_a3_per_cell": 181.1, "raw_formation_energy_ev_per_atom": -1.813, "lattice": [[4.959, 0.000, 0.000], [1.346, 5.384, 0.000], [2.141, 2.159, 6.784]], "species": ["Ta", "Ta", "Te", "Te", "O", "O", "O", "O", "O", "O", "O", "O", "O", "O"], "fractional_positions": [[0.000, 0.000, 0.000], [0.030, 0.000, 0.501], [0.487, 0.522, 0.718], [0.531, 0.502, 0.217], [0.177, 0.666, 0.143], [0.190, 0.827, 0.765], [0.217, 0.287, 0.828], [0.329, 0.207, 0.385], [0.346, 0.670, 0.471], [0.636, 0.388, 0.959], [0.664, 0.884, 0.036], [0.758, 0.753, 0.609], [0.767, 0.262, 0.608], [0.954, 0.086, 0.241]]}


Question: Number 2 is which compound?
Answer: TaTeO2


Question: Which formula does entry 3 have?
Answer: TaTeO2